(1)
Below is an optimized crystal structure of Ce2AlSi, with properties calculated at the PBE-GGA level.

Lattice parameters (Å, degrees): 6.2985 6.2274 6.2274 63.60 59.62 59.62
Atoms (fractional coordinates):
Al 0.2500 0.8068 0.6932
Al 0.7500 0.1932 0.3068
Ce 0.2186 0.2814 0.7814
Ce 0.7186 0.2814 0.7814
Ce 0.7814 0.7186 0.2186
Ce 0.2814 0.7186 0.2186
Si 0.7500 0.7983 0.7017
Si 0.2500 0.2017 0.2983

Computed properties:
Uncorrected formation energy, eV per atom: -0.458

***

(2)
Below is an optimized crystal structure of Pr2DyTm4Th, with properties calculated at the PBE-GGA level.

Lattice parameters (Å, degrees): 5.0935 5.0794 11.1140 62.84 90.00 90.00
Atoms (fractional coordinates):
Pr 0.0000 0.0000 0.0000
Pr 0.5000 0.0000 0.5000
Th 0.0000 0.5000 0.5000
Tm 0.5000 0.7469 0.2530
Tm 0.0000 0.2473 0.2528
Tm 0.5000 0.2531 0.7470
Tm 0.0000 0.7527 0.7472
Dy 0.5000 0.5000 0.0000

Computed properties:
Formation energy, eV/atom: 0.035

***

(3)
Below is an optimized crystal structure of AcNd3Sm12, with properties calculated at the PBE-GGA level.

Lattice parameters (Å, degrees): 5.1749 5.1749 20.6843 90.00 90.00 90.00
Atoms (fractional coordinates):
Nd 0.0000 0.0000 0.2520
Nd 0.0000 0.0000 0.5000
Nd 0.0000 0.0000 0.7480
Sm 0.0000 0.5000 0.8710
Sm 0.0000 0.5000 0.1290
Sm 0.5000 0.5000 0.5000
Sm 0.0000 0.5000 0.6238
Sm 0.5000 0.5000 0.7470
Sm 0.5000 0.0000 0.6238
Sm 0.5000 0.5000 0.2530
Sm 0.0000 0.5000 0.3762
Sm 0.5000 0.0000 0.1290
Sm 0.5000 0.5000 0.0000
Sm 0.5000 0.0000 0.8710
Sm 0.5000 0.0000 0.3762
Ac 0.0000 0.0000 0.0000

Computed properties:
Formation energy, eV/atom: 0.020

***

(4)
Below is an optimized crystal structure of CeHfZnHg, with properties calculated at the PBE-GGA level.

Lattice parameters (Å, degrees): 5.0712 5.0712 5.0712 60.00 60.00 60.00
Atoms (fractional coordinates):
Hf 0.7500 0.7500 0.7500
Hg 0.5000 0.5000 0.5000
Ce 0.2500 0.2500 0.2500
Zn 0.0000 0.0000 0.0000

Computed properties:
Formation energy, eV/atom: -0.035

***

(5)
Below is an optimized crystal structure of GeO2, with properties calculated at the PBE-GGA level.

Lattice parameters (Å, degrees): 5.1337 7.3338 7.3338 68.96 71.49 71.49
Atoms (fractional coordinates):
O 0.5000 0.0000 0.5000
O 0.9946 0.9192 0.7771
O 0.0000 0.5000 0.0000
O 0.2500 0.2124 0.7876
O 0.4946 0.7771 0.9192
O 0.5054 0.2229 0.0808
O 0.0054 0.0808 0.2229
O 0.7500 0.7876 0.2124
Ge 0.6819 0.0234 0.2538
Ge 0.3181 0.9766 0.7462
Ge 0.8181 0.7462 0.9766
Ge 0.1819 0.2538 0.0234

Computed properties:
Uncorrected formation energy, eV per atom: -1.578

***

(6)
Below is an optimized crystal structure of La3ScPb, with properties calculated at the PBE-GGA level.

Lattice parameters (Å, degrees): 5.6263 5.6263 5.6263 90.00 90.00 90.00
Atoms (fractional coordinates):
La 0.0000 0.0000 0.5000
La 0.0000 0.5000 0.0000
La 0.5000 0.0000 0.0000
Sc 0.0000 0.0000 0.0000
Pb 0.5000 0.5000 0.5000

Computed properties:
Energy above the most stable polymorph in this dataset, meV per atom: 0.0
Formation energy, eV/atom: 0.335

***

| no. | magnetization (μB/atom) |
| --- | --- |
| 1 | 0.000 |
| 2 | 0.000 |
| 3 | 0.000 |
| 4 | 0.472 |
| 5 | 0.000 |
| 6 | 0.039 |